No. 1
Here is crystalline CsSrP3 at its relaxed geometry from Alexandria. Energies are from PBE-GGA.

- Offset from the most stable computed form: 0.479 eV/atom
- SG: Pm-3m, No. 221
- Volume: 159.53 Å³ per cell

a b c (Å): 5.423 5.423 5.423
angles (deg): 90.00 90.00 90.00
Atoms (fractional coordinates):
P 0.500 0.000 0.000
P 0.000 0.000 0.500
Sr 0.500 0.500 0.500
Cs 0.000 0.000 0.000
P 0.000 0.500 0.000



No. 2
Here is crystalline AlZn3In at its relaxed geometry from Alexandria. Energies are from PBE-GGA.

- Offset from the most stable computed form: 0.000 eV/atom
- SG: Pm-3m, No. 221
- Volume: 118.76 Å³ per cell

a b c (Å): 4.915 4.915 4.915
angles (deg): 90.00 90.00 90.00
Atoms (fractional coordinates):
Zn 0.000 0.500 0.000
Zn 0.000 0.000 0.500
Al 0.000 0.000 0.000
Zn 0.500 0.000 0.000
In 0.500 0.500 0.500



No. 3
Here is crystalline Rb3Te5Se12 at its relaxed geometry from Alexandria. Energies are from PBE-GGA.

- SG: Ia-3d, No. 230
- Formation energy without anion corrections: -0.1723 eV per atom
- Volume: 2838.89 Å³ per cell

a b c (Å): 15.450 15.450 15.450
angles (deg): 109.47 109.47 109.47
Atoms (fractional coordinates):
Te 0.375 0.250 0.125
Se 0.176 0.093 0.979
Se 0.176 0.084 0.698
Se 0.198 0.676 0.084
Te 0.750 0.125 0.875
Se 0.386 0.979 0.802
Se 0.676 0.198 0.584
Se 0.907 0.824 0.521
Rb 0.625 0.375 0.750
Se 0.302 0.886 0.979
Se 0.093 0.176 0.479
Se 0.614 0.021 0.198
Se 0.907 0.084 0.886
Te 0.500 0.500 0.000
Rb 0.375 0.625 0.250
Se 0.886 0.584 0.907
Se 0.916 0.093 0.614
Rb 0.250 0.625 0.875
Se 0.698 0.114 0.021
Te 0.000 0.500 0.000
Te 0.250 0.875 0.125
Rb 0.125 0.250 0.875
Te 0.125 0.375 0.250
Se 0.479 0.802 0.886
Se 0.302 0.416 0.824
Te 0.375 0.125 0.750
Rb 0.250 0.125 0.375
Se 0.407 0.021 0.324
Rb 0.750 0.875 0.625
Se 0.979 0.593 0.176
Se 0.916 0.824 0.802
Se 0.521 0.324 0.907
Se 0.021 0.407 0.824
Se 0.386 0.407 0.084
Se 0.584 0.886 0.407
Te 0.500 0.500 0.500
Se 0.114 0.416 0.093
Te 0.750 0.625 0.375
Te 0.000 0.000 0.500
Rb 0.875 0.750 0.125
Se 0.084 0.907 0.386
Se 0.676 0.479 0.593
Se 0.416 0.302 0.324
Te 0.875 0.250 0.625
Te 0.250 0.375 0.625
Se 0.824 0.916 0.302
Te 0.125 0.750 0.375
Se 0.698 0.584 0.176
Se 0.593 0.614 0.416
Se 0.198 0.521 0.614
Te 0.500 0.000 0.000
Se 0.114 0.698 0.521
Se 0.479 0.676 0.093
Te 0.000 0.000 0.000
Se 0.093 0.916 0.114
Se 0.593 0.979 0.676
Se 0.407 0.386 0.584
Se 0.084 0.176 0.198
Te 0.000 0.500 0.500
Se 0.324 0.521 0.407
Se 0.886 0.302 0.479
Se 0.021 0.614 0.698
Te 0.625 0.750 0.875
Se 0.824 0.907 0.021
Se 0.584 0.698 0.676
Rb 0.875 0.125 0.250
Se 0.416 0.114 0.593
Rb 0.125 0.875 0.750
Te 0.625 0.875 0.250
Se 0.979 0.386 0.302
Se 0.802 0.479 0.386
Rb 0.750 0.375 0.125
Te 0.500 0.000 0.500
Se 0.802 0.324 0.916
Se 0.521 0.198 0.114
Se 0.614 0.593 0.916
Rb 0.625 0.250 0.375
Se 0.324 0.802 0.416
Rb 0.375 0.750 0.625
Te 0.875 0.625 0.750



No. 4
Here is crystalline RbZr4 at its relaxed geometry from Alexandria. Energies are from PBE-GGA.

- Total DFT energy (no corrections): -5.157 eV/atom
- SG: Pm-3m, No. 221
- Volume: 128.47 Å³ per cell

a b c (Å): 5.046 5.046 5.046
angles (deg): 90.00 90.00 90.00
Atoms (fractional coordinates):
Zr 0.000 0.000 0.000
Zr 0.000 0.500 0.500
Rb 0.500 0.500 0.500
Zr 0.500 0.000 0.500
Zr 0.500 0.500 0.000



> Among the records above, which one has the lowest volume?

AlZn3In



> Among the records above, which one has the highest volume?

Rb3Te5Se12



> Look up the volume of the second one.

118.76 Å³ per cell